DFT (PBE) results for a relaxed SrCeBi crystal.

a b c (Å): 4.580 5.433 5.433
angles (deg): 120.00 90.00 90.00
Element x y z (fractional)
Ce 0.128 0.000 0.000
Sr 0.638 0.667 0.333
Bi 0.233 0.333 0.667

Results
The value obtained for the total energy is -4.06 eV per atom. The calculation puts the total magnetization at 2.00 μB per cell. As for the crystal system: trigonal. The calculated density comes out at 6.19 g cm⁻³.